# GaBrCl

A relaxed GaBrCl crystal (GGA-PBE, the Alexandria database).

Results
E_form (uncorrected)   -256 kJ/mol of formula units
DOS at the Fermi energy   0.00 states/eV/atom
Energy above the lowest structure with this stoichiometry   0.0 meV per atom
Mass density   2.569 g/cm³
Total DFT energy (no corrections)   -18.39 eV/cell

a b c (Å): 5.0625 6.3860 7.5393
angles (deg): 89.26 84.15 80.65
Last column: nearest neighbours and their distance in Å.
Space group P-1 (No. 2)
Inequivalent atoms, fractional coordinates:
Ga: 0.1930 0.0755 0.4301 [2 per cell]  1 Br 2.31, 2 Cl 2.37-2.38, 1 Ga 2.45
Br: 0.1736 0.3205 0.2025 [2 per cell]  1 Ga 2.31
Cl: 0.4367 0.1966 0.6506 [2 per cell]  2 Ga 2.37-2.38